{
  "formula": "La4Tm5",
  "functional": "GGA-PBE",
  "state": "relaxed",
  "delta_e_f_ev_per_fu": 0.35,
  "m_tot_mub_per_fu": 0.00,
  "relative_energy_mev_per_atom": 4,
  "lattice": [[-2.364, 0.751, 2.778], [-7.935, -3.019, -3.447], [0.852, -7.473, 5.234]],
  "species": ["La", "La", "La", "La", "Tm", "Tm", "Tm", "Tm", "Tm"],
  "frac_coords": [[0.358, 0.621, 0.664], [0.358, 0.997, 0.288], [0.642, 0.712, 0.003], [0.642, 0.336, 0.379], [0.000, 0.043, 0.957], [0.000, 0.291, 0.709], [0.000, 0.667, 0.333], [0.300, 0.366, 0.033], [0.700, 0.967, 0.634]]
}